#P
This record from Alexandria describes a geometry-optimized FeAs2Pt structure. The functional is PBE-GGA.

Values from the calculation:
Its density is 8341 kg/m³. Its space group is I-42d, No. 122.

a b c (Å): 5.4364 5.4364 6.6278
angles (deg): 65.79 65.79 90.00
Closest atoms and distances in Å follow each position.
Element x y z (fractional)
Fe 0.5000 0.5000 0.0000  4 As 2.26
Fe 0.2500 0.7500 0.5000  4 As 2.26
As 0.1550 0.6250 0.2500  2 Fe 2.26, 2 Pt 2.45
As 0.5950 0.1250 0.2500  2 Fe 2.26, 2 Pt 2.45
As 0.3750 0.4050 0.7500  2 Fe 2.26, 2 Pt 2.45
As 0.8750 0.8450 0.7500  2 Fe 2.26, 2 Pt 2.45
Pt 0.0000 0.0000 0.0000  4 As 2.45
Pt 0.7500 0.2500 0.5000  4 As 2.45



#Q
This record from Alexandria describes a geometry-optimized FeAs2Pt structure. The functional is PBE-GGA.

Values from the calculation:
Its density is 10617 kg/m³. Its space group is Pmmm, No. 47.

a b c (Å): 2.8805 2.9727 7.3202
angles (deg): 90.00 90.00 90.00
Closest atoms and distances in Å follow each position.
Element x y z (fractional)
As 0.0000 0.7500 0.0450  4 Fe 2.56, 2 Pt 2.60
As 0.0000 0.7500 0.4550  4 Fe 2.56, 2 Pt 2.60
Pt 0.5000 0.7500 0.7500  4 As 2.60, 2 Pt 2.88
Fe 0.5000 0.2500 0.2500  8 As 2.56



The most stable structure shown above is #Q; the least stable is #P.